Record 1
Entry from the Alexandria database: Pr8ZnTe4S3 after structural relaxation (GGA-PBE).

POSCAR file:
```
Pr8ZnTe4S3
1.0
4.285 2.474 7.315
-4.285 2.474 7.315
0.000 -4.948 7.315
Pr Zn Te S
8 1 4 3
direct
0.235 0.742 0.742 Pr
0.236 0.236 0.236 Pr
0.258 0.258 0.765 Pr
0.258 0.765 0.258 Pr
0.742 0.235 0.742 Pr
0.742 0.742 0.235 Pr
0.764 0.764 0.764 Pr
0.765 0.258 0.258 Pr
0.500 0.500 0.500 Zn
0.000 0.000 0.000 Te
0.000 0.500 0.500 Te
0.500 0.000 0.500 Te
0.500 0.500 0.000 Te
0.000 0.000 0.500 S
0.000 0.500 0.000 S
0.500 0.000 0.000 S
```

## Properties
As for the space group: No. 166. The value obtained for the density of states at the Fermi level is 0.565 states/eV per atom. As for the total magnetization: 0.00 μB/cell. Its total DFT energy (no corrections) is -5.54 eV per atom.

Record 2
Entry from the Alexandria database: Li2YBr after structural relaxation (GGA-PBE).

POSCAR file:
```
Li2YBr
1.0
5.761 0.000 0.000
0.000 11.245 0.000
-1.172 0.000 3.226
Li Y Br
4 2 2
direct
0.250 0.250 0.000 Li
0.250 0.750 0.000 Li
0.750 0.250 0.000 Li
0.750 0.750 0.000 Li
0.000 0.000 0.500 Y
0.500 0.500 0.500 Y
0.000 0.500 0.500 Br
0.500 0.000 0.500 Br
```

## Properties
As for the space group: No. 12. The energy relative to the lowest polymorph listed for this composition is 228.5 meV/atom. The value obtained for the density of states at the Fermi level is 0.658 states/eV per atom. As for the total magnetization: 0.02 μB/cell. Its total DFT energy (no corrections) is -3.30 eV per atom.

Record 3
Entry from the Alexandria database: KNaTb after structural relaxation (GGA-PBE).

POSCAR file:
```
KNaTb
1.0
3.802 0.000 0.000
0.000 3.802 0.000
0.000 0.000 17.759
K Na Tb
2 2 2
direct
0.250 0.250 0.110 K
0.750 0.750 0.890 K
0.250 0.250 0.708 Na
0.750 0.750 0.292 Na
0.250 0.250 0.437 Tb
0.750 0.750 0.563 Tb
```

## Properties
As for the space group: No. 129. The value obtained for the density of states at the Fermi level is 1.105 states/eV per atom. As for the total magnetization: 0.02 μB/cell. The value obtained for the formation energy is 0.149 eV/atom. Its total DFT energy (no corrections) is -2.20 eV per atom.

Record 4
Entry from the Alexandria database: Pu3Zn5Rh3 after structural relaxation (GGA-PBE).

POSCAR file:
```
Pu3Zn5Rh3
1.0
5.352 0.000 0.000
0.862 6.675 0.000
2.024 3.069 5.717
Pu Zn Rh
3 5 3
direct
0.000 0.000 0.000 Pu
0.071 0.592 0.570 Pu
0.241 0.528 0.052 Pu
0.393 0.141 0.515 Zn
0.418 0.012 0.212 Zn
0.557 0.286 0.757 Zn
0.652 0.549 0.309 Zn
0.912 0.099 0.460 Zn
0.574 0.727 0.581 Rh
0.608 0.856 0.902 Rh
0.761 0.363 0.039 Rh
```

## Properties
As for the space group: No. 1. The value obtained for the density of states at the Fermi level is 2.169 states/eV per atom. As for the total magnetization: 16.02 μB/cell. The value obtained for the formation energy is -0.283 eV/atom. Its total DFT energy (no corrections) is -6.78 eV per atom.

Question: Among the records above, which one has the lowest total magnetization?
Answer: Pr8ZnTe4S3